# 1
5
Lattice="5.148 0.000 0.000 0.000 5.148 0.000 0.000 0.000 4.624" Properties=species:S:1:pos:R:3 comment="BeAg2GeOs, relaxed, DFT PBE-GGA" n_ef_per_ev_atom=0.7581 sg=P4/mmm ef_mev_per_atom=1420 pbc="T T T"
Be 0.000 0.000 0.000
Ag 0.000 2.574 2.312
Ag 2.574 0.000 2.312
Ge 2.574 2.574 0.000
Os 2.574 2.574 2.312



# 2
11
Lattice="8.258 0.000 0.000 -4.129 7.151 0.000 0.000 0.000 6.501" Properties=species:S:1:pos:R:3 comment="Pu3SCl7, relaxed, DFT PBE-GGA" formation_energy_uncorrected_mev_per_atom=-1843 n_ef_per_ev_atom=2.6579 sg=P3m1 pbc="T T T"
Pu -2.013 3.605 0.000
Pu 2.013 3.605 0.000
Pu 0.000 7.093 0.000
S 0.000 4.768 1.338
Cl 0.000 2.505 5.049
Cl -1.960 5.899 5.049
Cl 2.205 1.273 1.402
Cl 1.960 5.899 5.049
Cl 4.129 2.384 5.004
Cl 6.053 1.273 1.402
Cl 4.129 4.605 1.402



# 3
5
Lattice="-2.158 2.158 4.598 2.158 -2.158 4.598 2.158 2.158 -4.598" Properties=species:S:1:pos:R:3 comment="CaP2Rh2, relaxed, DFT PBE-GGA" n_ef_per_ev_atom=0.3713 sg=I4/mmm ef_mev_per_atom=-766 pbc="T T T"
Ca 0.000 0.000 0.000
P 2.158 0.000 2.299
P 0.000 2.158 2.299
Rh 0.000 0.000 3.259
Rh 0.000 0.000 5.938



# 4
4
Lattice="0.000 4.056 4.056 4.056 0.000 4.056 4.056 4.056 0.000" Properties=species:S:1:pos:R:3 comment="KNaTl2, relaxed, DFT PBE-GGA" n_ef_per_ev_atom=0.7115 sg=Fm-3m relative_energy_kj_per_mol_atoms=4.4 ef_mev_per_atom=-23 pbc="T T T"
K 0.000 0.000 0.000
Na 4.056 4.056 4.056
Tl 2.028 2.028 2.028
Tl 6.084 6.084 6.084



# 5
18
Lattice="5.167 0.000 0.000 -2.583 4.475 0.000 0.000 0.000 9.492" Properties=species:S:1:pos:R:3 comment="TiAgIrO6, relaxed, DFT PBE-GGA" formation_energy_uncorrected_mev_per_atom=-1223 n_ef_per_ev_atom=0.6668 sg=P-31c pbc="T T T"
Ti 0.000 2.983 2.373
Ti 2.583 1.492 7.119
Ag 0.000 0.000 0.000
Ag 0.000 0.000 4.746
Ir 0.000 2.983 7.119
Ir 2.583 1.492 2.373
O -0.933 1.657 6.052
O -1.615 2.838 8.186
O 0.933 1.657 8.186
O -0.682 4.454 6.052
O 1.902 0.021 1.306
O 0.969 1.636 3.440
O 1.615 2.838 6.052
O 0.682 4.454 8.186
O 3.265 0.021 3.440
O 1.651 2.817 1.306
O 4.198 1.636 1.306
O 3.516 2.817 3.440



# 6
14
Lattice="5.214 -4.908 0.000 5.214 4.908 0.000 -5.045 0.000 8.899" Properties=species:S:1:pos:R:3 comment="PmCoCl5, relaxed, DFT PBE-GGA" formation_energy_uncorrected_mev_per_atom=-1494 sg=C2/c pbc="T T T"
Pm 2.607 2.454 0.000
Pm 0.085 -2.454 4.450
Co 1.431 3.532 6.675
Co 3.953 -3.532 2.225
Cl -0.528 0.175 3.991
Cl -0.183 2.110 7.386
Cl -3.050 -0.175 8.440
Cl 3.953 1.628 2.225
Cl 3.044 2.110 5.963
Cl 2.339 -2.110 2.936
Cl 1.431 -1.628 6.675
Cl 8.434 0.175 0.459
Cl 5.567 -2.110 1.513
Cl 5.912 -0.175 4.909



# 7
5
Lattice="5.037 0.000 0.000 0.000 5.037 0.000 0.000 0.000 5.037" Properties=species:S:1:pos:R:3 comment="LaTa3Bi, relaxed, DFT PBE-GGA" n_ef_per_ev_atom=1.0766 sg=Pm-3m relative_energy_kj_per_mol_atoms=34.7 ef_mev_per_atom=2077 pbc="T T T"
La 0.000 0.000 0.000
Ta 0.000 0.000 2.518
Ta 0.000 2.518 0.000
Ta 2.518 0.000 0.000
Bi 2.518 2.518 2.518



# 8
12
Lattice="3.854 -6.137 0.000 3.854 6.137 0.000 -2.252 0.000 6.854" Properties=species:S:1:pos:R:3 comment="UAg5Te6, relaxed, DFT PBE-GGA" formation_energy_uncorrected_mev_per_atom=-158 n_ef_per_ev_atom=0.7449 sg=C2/m pbc="T T T"
U 0.000 0.000 0.000
Ag 2.728 4.592 3.427
Ag 3.854 2.281 0.000
Ag 2.728 0.000 3.427
Ag 3.854 -2.281 0.000
Ag 2.728 -4.592 3.427
Te 1.175 2.030 1.868
Te 0.477 0.000 5.439
Te 1.175 -2.030 1.868
Te 4.281 2.030 4.986
Te 4.980 0.000 1.415
Te 4.281 -2.030 4.986



# 9
4
Lattice="1.435 0.828 9.794 -1.435 0.828 9.794 0.000 -1.657 9.794" Properties=species:S:1:pos:R:3 comment="AgHgW2, relaxed, DFT PBE-GGA" n_ef_per_ev_atom=0.9096 sg=R-3m ef_mev_per_atom=792 pbc="T T T"
Ag 0.000 0.000 0.000
Hg 0.000 0.000 14.691
W 0.000 0.000 7.375
W 0.000 0.000 22.007



# 10
3
Lattice="-1.693 2.127 5.765 1.693 -2.127 5.765 1.693 2.127 -5.765" Properties=species:S:1:pos:R:3 comment="CaZrPb, relaxed, DFT PBE-GGA" n_ef_per_ev_atom=0.9155 sg=Imm2 ef_mev_per_atom=-15 pbc="T T T"
Ca 0.000 0.000 0.000
Zr 0.000 0.000 3.555
Pb 0.000 0.000 7.774



# 11
6
Lattice="0.000 4.430 4.430 4.430 0.000 4.430 4.430 4.430 0.000" Properties=species:S:1:pos:R:3 comment="Y4TcBr, relaxed, DFT PBE-GGA" formation_energy_uncorrected_mev_per_atom=793 n_ef_per_ev_atom=1.1836 sg=F-43m pbc="T T T"
Y 3.342 3.342 3.342
Y 5.518 5.518 3.342
Y 5.518 3.342 5.518
Y 3.342 5.518 5.518
Tc 6.644 6.644 6.644
Br 0.000 0.000 0.000



# 12
13
Lattice="-4.830 4.830 2.874 4.830 -4.830 2.874 4.830 4.830 -2.874" Properties=species:S:1:pos:R:3 comment="PrCd4Au8, relaxed, DFT PBE-GGA" n_ef_per_ev_atom=0.3417 sg=I4/mmm ef_mev_per_atom=-247 pbc="T T T"
Pr 0.000 0.000 0.000
Cd 2.415 2.415 -1.437
Cd 2.415 -2.415 1.437
Cd -2.415 2.415 1.437
Cd 2.415 2.415 1.437
Au 3.295 0.000 0.000
Au 6.364 0.000 0.000
Au 4.830 2.791 0.000
Au 0.000 3.295 0.000
Au 2.791 4.830 0.000
Au 2.039 0.000 2.874
Au 0.000 6.364 0.000
Au 0.000 2.039 2.874